#a
GGA-PBE Pm2SmSc2, optimized geometry; DOS(E_F) = 19.1 states/eV/cell
1.0
-4.4908 4.4674 -5.6643
5.9167 -6.0786 -0.5025
-4.8296 -3.3490 2.8955
Pm Sm Sc
4 2 4
Direct
0.7926 0.7031 0.5055
0.2969 0.2074 0.9945
0.7031 0.7926 0.0055
0.2074 0.2969 0.4945
0.1584 0.8416 0.2500
0.8416 0.1584 0.7500
0.3489 0.6511 0.2500
0.7506 0.2494 0.2500
0.2494 0.7506 0.7500
0.6511 0.3489 0.7500



#b
GGA-PBE Pm2SmSc2, optimized geometry; DOS(E_F) = 8.1 states/eV/cell
1.0
-5.6509 1.6188 1.2808
-1.4251 -3.5612 4.6345
6.3989 4.3508 -1.3424
Pm Sm Sc
2 1 2
Direct
0.2028 0.7972 0.5000
0.7972 0.2028 0.5000
0.0000 0.0000 0.0000
0.4999 0.4999 0.1922
0.5001 0.5001 0.8078



Which structure is most stable? #a, by 67 meV per atom over the runner-up.



#a
GGA-PBE Pm4Sm5Sc, optimized geometry; DOS(E_F) = 13.5 states/eV/cell
1.0
-3.8767 0.3831 -4.6176
1.2816 -5.7554 -5.5055
-6.6865 -4.3208 1.3031
Pm Sm Sc
4 5 1
Direct
0.4363 0.3225 0.6776
0.7588 0.6776 0.6775
0.1139 0.3224 0.3225
0.4363 0.6775 0.3224
0.7836 0.3716 0.0000
0.1552 0.0000 0.6284
0.7835 0.0000 0.3716
0.1551 0.6284 0.0000
0.6762 0.0000 0.0000
0.2115 0.0000 0.0000



#b
GGA-PBE Pm4Sm5Sc, optimized geometry; DOS(E_F) = 14.9 states/eV/cell
1.0
4.7332 0.0000 -1.3122
-1.2520 7.3884 -4.5160
0.1613 0.2876 9.7744
Pm Sm Sc
4 5 1
Direct
0.3230 0.5736 0.6461
0.9687 0.7249 0.9374
0.6770 0.4264 0.3539
0.0313 0.2751 0.0626
0.8268 0.2721 0.6536
0.8394 0.8902 0.6788
0.1606 0.1098 0.3212
0.5000 0.5000 0.0000
0.1732 0.7279 0.3464
0.5000 0.0000 0.0000



Which structure is most stable? #a, by 25 meV per atom over the runner-up.



#a
GGA-PBE Pm3Sm6Sc, optimized geometry; DOS(E_F) = 19.9 states/eV/cell
1.0
8.7765 0.0000 4.6574
3.1525 8.1908 4.6574
2.2279 1.5298 6.3997
Pm Sm Sc
3 6 1
Direct
0.3501 0.3501 0.9498
0.6043 0.6043 0.1871
0.0957 0.0957 0.7130
0.9276 0.6057 0.2012
0.2655 0.9276 0.2012
0.6057 0.2655 0.2012
0.0942 0.4345 0.6988
0.7726 0.0942 0.6988
0.4345 0.7726 0.6988
0.8500 0.8500 0.4501



#b
GGA-PBE Pm3Sm6Sc, optimized geometry; DOS(E_F) = 26.5 states/eV/cell
1.0
6.3592 0.0000 0.0000
0.0000 10.9093 -1.6840
0.0000 -4.0760 10.2585
Pm Sm Sc
6 12 2
Direct
0.4571 0.9462 0.7169
0.9571 0.7169 0.9462
0.0746 0.3849 0.6151
0.5746 0.6151 0.3849
0.9571 0.0538 0.2831
0.4571 0.2831 0.0538
0.0536 0.7107 0.6236
0.5536 0.6236 0.7107
0.3656 0.5296 0.9487
0.8656 0.9487 0.5296
0.3929 0.9579 0.0421
0.6450 0.2764 0.7236
0.1450 0.7236 0.2764
0.8929 0.0421 0.9579
0.3656 0.0513 0.4704
0.8656 0.4704 0.0513
0.0536 0.3764 0.2893
0.5536 0.2893 0.3764
0.1201 0.1986 0.8014
0.6201 0.8014 0.1986



Which structure is most stable? #b, by 80 meV per atom over the runner-up.